A relaxed Sn2AsIr2 crystal, computed with PBE.

## Properties
- energy (eV/atom) = -6.070
- calculated formation energy (eV/atom) = 0.005

abc: 7.8380 7.8380 3.0299
angles: 90.00 90.00 90.00
Atoms (fractional coordinates):
Sn (0.6541, 0.8459, 0.5000)
Sn (0.1541, 0.6541, 0.5000)
Sn (0.8459, 0.3459, 0.5000)
Sn (0.3459, 0.1541, 0.5000)
Ir (0.8570, 0.6430, 0.0000)
Ir (0.6430, 0.1430, 0.0000)
Ir (0.3570, 0.8570, 0.0000)
Ir (0.1430, 0.3570, 0.0000)
As (0.0000, 0.0000, 0.0000)
As (0.5000, 0.5000, 0.0000)